(1)
Material: Cu2AsSe
Method: DFT, GGA-PBE
State: relaxed

a b c (Å): 5.7111 5.7111 6.4273
angles (deg): 63.62 63.62 90.00
Closest atoms and distances in Å follow each position.
Sites, in units of the cell vectors:
Se 0.7500 0.2500 0.5000  4 Cu 2.38
Se 0.0000 0.0000 0.0000  4 Cu 2.38
As 0.5000 0.5000 0.0000  4 Cu 2.37
As 0.2500 0.7500 0.5000  4 Cu 2.37
Cu 0.6238 0.1250 0.2500  2 As 2.37, 2 Se 2.38
Cu 0.3750 0.3762 0.7500  2 As 2.37, 2 Se 2.38
Cu 0.1262 0.6250 0.2500  2 As 2.37, 2 Se 2.38
Cu 0.8750 0.8738 0.7500  2 As 2.37, 2 Se 2.38

Properties
symmetry = I-42d, No. 122
Fermi-level density of states = 3.91 states/eV/f.u.
raw formation energy = 85 meV per atom
volume = 163 Å³ per cell

***

(2)
Material: HfB2Ir2
Method: DFT, GGA-PBE
State: relaxed

a b c (Å): 6.7796 6.7796 2.7569
angles (deg): 90.00 90.00 90.00
Closest atoms and distances in Å follow each position.
Sites, in units of the cell vectors:
B 0.1651 0.6651 0.5000  6 Ir 2.34-2.48
B 0.3349 0.1651 0.5000  6 Ir 2.34-2.48
B 0.8349 0.3349 0.5000  6 Ir 2.34-2.48
B 0.6651 0.8349 0.5000  6 Ir 2.34-2.48
Hf 0.0000 0.0000 0.0000  4 Ir 2.63, 2 Hf 2.76, 8 B 2.88
Hf 0.5000 0.5000 0.0000  4 Ir 2.63, 2 Hf 2.76, 8 B 2.88
Ir 0.6379 0.1379 0.0000  6 B 2.34-2.48
Ir 0.8621 0.6379 0.0000  6 B 2.34-2.48
Ir 0.1379 0.3621 0.0000  6 B 2.34-2.48
Ir 0.3621 0.8621 0.0000  6 B 2.34-2.48

Properties
symmetry = P4/mbm, No. 127
Fermi-level density of states = 2.58 states/eV/f.u.
final energy = -80.8 eV for the cell shown
volume = 127 Å³ per cell

***

(3)
Material: Cs2KBi
Method: DFT, GGA-PBE
State: relaxed

a b c (Å): 4.4074 4.4074 13.5883
angles (deg): 90.00 90.00 90.00
Closest atoms and distances in Å follow each position.
Sites, in units of the cell vectors:
Cs 0.0000 0.0000 0.1759  4 Bi 3.93
Cs 0.0000 0.0000 0.8241  4 Bi 3.93
Bi 0.5000 0.5000 0.0000  8 Cs 3.93
K 0.5000 0.5000 0.5000  4 K 4.41

Properties
symmetry = P4/mmm, No. 123
Fermi-level density of states = 1.53 states/eV/f.u.
final energy = -7.3 eV for the cell shown
volume = 264 Å³ per cell

***

(4)
Material: Ti7In3Pd2
Method: DFT, GGA-PBE
State: relaxed

a b c (Å): 3.7114 4.3584 13.9176
angles (deg): 99.02 90.00 90.00
Closest atoms and distances in Å follow each position.
Sites, in units of the cell vectors:
Ti 0.5000 0.9200 0.8400  2 Pd 2.78, 6 Ti 2.86-2.88, 2 In 3.10
Ti 0.0000 0.4212 0.8425  2 Pd 2.56, 2 In 2.85, 4 Ti 2.86
Ti 0.5000 0.0800 0.1600  2 Pd 2.78, 6 Ti 2.86-2.88, 2 In 3.10
Ti 0.0000 0.5788 0.1575  2 Pd 2.56, 2 In 2.85, 4 Ti 2.86
Ti 0.5000 0.7363 0.4724  2 Ti 2.31, 1 Pd 2.57
Ti 0.5000 0.2637 0.5276  2 Ti 2.31, 1 Pd 2.57
Ti 0.0000 0.0000 0.0000  4 In 2.86, 8 Ti 2.88-3.07
In 0.5000 0.5000 0.0000  12 Ti 2.85-3.10
In 0.0000 0.8237 0.6481  4 Pd 3.00, 8 Ti 3.05-3.31
In 0.0000 0.1763 0.3519  4 Pd 3.00, 8 Ti 3.05-3.31
Pd 0.5000 0.6429 0.2854  5 Ti 2.56-2.78
Pd 0.5000 0.3571 0.7146  5 Ti 2.56-2.78

Properties
symmetry = P2/m, No. 10
Fermi-level density of states = 11.55 states/eV/f.u.
final energy = -74.9 eV for the cell shown
volume = 222 Å³ per cell